Entry 1:
# NaPmPH, relaxed, DFT GGA-PBE
# DFT total energy = -4.305 eV/atom
data_NaPmPH
_cell_length_a 6.680
_cell_length_b 6.680
_cell_length_c 6.680
_cell_angle_alpha 90.00
_cell_angle_beta 90.00
_cell_angle_gamma 90.00
_symmetry_space_group_name_H-M 'F -4 3 m'
_symmetry_Int_Tables_number 216
_symmetry_space_group_name_Hall 'F -4 2 3'
loop_
_atom_site_label
_atom_site_fract_x
_atom_site_fract_y
_atom_site_fract_z
Na1 0.000 0.000 0.000
Pm1 0.000 0.000 0.500
P1 0.250 0.250 0.250
H1 0.250 0.250 0.750

Entry 2:
# NaP2HPt, relaxed, DFT GGA-PBE
# DFT total energy = -3.737 eV/atom
data_NaP2HPt
_cell_length_a 4.505
_cell_length_b 4.505
_cell_length_c 5.922
_cell_angle_alpha 90.00
_cell_angle_beta 90.00
_cell_angle_gamma 90.00
_symmetry_space_group_name_H-M 'P 4/m m m'
_symmetry_Int_Tables_number 123
_symmetry_space_group_name_Hall '-P 4 2'
loop_
_atom_site_label
_atom_site_fract_x
_atom_site_fract_y
_atom_site_fract_z
Na1 0.000 0.000 0.000
P1 0.000 0.500 0.500
H1 0.500 0.500 0.000
Pt1 0.000 0.000 0.500

Entry 3:
# NaRe2PH, relaxed, DFT GGA-PBE
# DFT total energy = -6.260 eV/atom
data_NaRe2PH
_cell_length_a 3.865
_cell_length_b 3.865
_cell_length_c 4.172
_cell_angle_alpha 90.00
_cell_angle_beta 90.00
_cell_angle_gamma 90.00
_symmetry_space_group_name_H-M 'P 4/m m m'
_symmetry_Int_Tables_number 123
_symmetry_space_group_name_Hall '-P 4 2'
loop_
_atom_site_label
_atom_site_fract_x
_atom_site_fract_y
_atom_site_fract_z
Na1 0.000 0.000 0.000
Re1 0.000 0.500 0.500
P1 0.500 0.500 0.000
H1 0.000 0.000 0.500

Entry 4:
# NaP2HS, relaxed, DFT GGA-PBE
# DFT total energy = -2.167 eV/atom
# ΔE to the lowest computed polymorph = 6.60 eV per formula unit
data_NaP2HS
_cell_length_a 4.980
_cell_length_b 4.980
_cell_length_c 4.908
_cell_angle_alpha 90.00
_cell_angle_beta 90.00
_cell_angle_gamma 90.00
_symmetry_space_group_name_H-M 'P 4/m m m'
_symmetry_Int_Tables_number 123
_symmetry_space_group_name_Hall '-P 4 2'
loop_
_atom_site_label
_atom_site_fract_x
_atom_site_fract_y
_atom_site_fract_z
Na1 0.000 0.000 0.000
P1 0.000 0.500 0.000
H1 0.500 0.500 0.500
S1 0.000 0.000 0.500

Entry 5:
# NaPHS3, relaxed, DFT GGA-PBE
# DFT total energy = -4.212 eV/atom
data_NaPHS3
_cell_length_a 11.668
_cell_length_b 7.095
_cell_length_c 6.632
_cell_angle_alpha 90.00
_cell_angle_beta 115.45
_cell_angle_gamma 90.00
_symmetry_space_group_name_H-M 'C 1 2/m 1'
_symmetry_Int_Tables_number 12
_symmetry_space_group_name_Hall '-C 2y'
loop_
_atom_site_label
_atom_site_fract_x
_atom_site_fract_y
_atom_site_fract_z
Na1 0.214 0.000 0.183
P1 0.030 0.500 0.186
H1 0.000 0.267 0.500
S1 0.062 0.262 0.775
S2 0.217 0.500 0.347

Entry 6:
# NaPH2S4, relaxed, DFT GGA-PBE
# DFT total energy = -4.101 eV/atom
data_NaPH2S4
_cell_length_a 5.015
_cell_length_b 7.134
_cell_length_c 8.168
_cell_angle_alpha 90.00
_cell_angle_beta 90.00
_cell_angle_gamma 90.00
_symmetry_space_group_name_H-M 'I 2 2 2'
_symmetry_Int_Tables_number 23
_symmetry_space_group_name_Hall 'I 2 2'
loop_
_atom_site_label
_atom_site_fract_x
_atom_site_fract_y
_atom_site_fract_z
Na1 0.000 0.000 0.000
P1 0.000 0.000 0.500
H1 0.000 0.500 0.146
S1 0.249 0.156 0.351

Entry 7:
# NaP2HS6, relaxed, DFT GGA-PBE
# DFT total energy = -4.349 eV/atom
data_NaP2HS6
_cell_length_a 12.917
_cell_length_b 16.240
_cell_length_c 5.636
_cell_angle_alpha 90.00
_cell_angle_beta 110.15
_cell_angle_gamma 90.00
_symmetry_space_group_name_H-M 'C 1 2/c 1'
_symmetry_Int_Tables_number 15
_symmetry_space_group_name_Hall '-C 2yc'
loop_
_atom_site_label
_atom_site_fract_x
_atom_site_fract_y
_atom_site_fract_z
Na1 0.000 0.072 0.250
P1 0.214 0.435 0.911
H1 0.000 0.354 0.750
S1 0.125 0.082 0.918
S2 0.128 0.335 0.941
S3 0.155 0.451 0.511

Entry 8:
# NaP2HS, relaxed, DFT GGA-PBE
# DFT total energy = -3.487 eV/atom
# ΔE to the lowest computed polymorph = 0.00 eV per formula unit
data_NaP2HS
_cell_length_a 3.767
_cell_length_b 3.767
_cell_length_c 5.151
_cell_angle_alpha 90.00
_cell_angle_beta 90.00
_cell_angle_gamma 90.00
_symmetry_space_group_name_H-M 'P 4/m m m'
_symmetry_Int_Tables_number 123
_symmetry_space_group_name_Hall '-P 4 2'
loop_
_atom_site_label
_atom_site_fract_x
_atom_site_fract_y
_atom_site_fract_z
Na1 0.000 0.000 0.000
P1 0.000 0.500 0.500
H1 0.500 0.500 0.500
S1 0.500 0.500 0.000

Entry 9:
# NaPHSe3, relaxed, DFT GGA-PBE
# DFT total energy = -3.750 eV/atom
data_NaPHSe3
_cell_length_a 11.596
_cell_length_b 7.740
_cell_length_c 6.977
_cell_angle_alpha 90.00
_cell_angle_beta 115.52
_cell_angle_gamma 90.00
_symmetry_space_group_name_H-M 'C 1 2/m 1'
_symmetry_Int_Tables_number 12
_symmetry_space_group_name_Hall '-C 2y'
loop_
_atom_site_label
_atom_site_fract_x
_atom_site_fract_y
_atom_site_fract_z
Na1 0.203 0.000 0.189
P1 0.029 0.500 0.178
H1 0.000 0.273 0.500
Se1 0.074 0.265 0.783
Se2 0.235 0.500 0.348

Entry 10:
# Na2PHSe4, relaxed, DFT GGA-PBE
# DFT total energy = -3.330 eV/atom
data_Na2PHSe4
_cell_length_a 11.562
_cell_length_b 9.038
_cell_length_c 9.342
_cell_angle_alpha 90.00
_cell_angle_beta 120.63
_cell_angle_gamma 90.00
_symmetry_space_group_name_H-M 'C 1 2/c 1'
_symmetry_Int_Tables_number 15
_symmetry_space_group_name_Hall '-C 2yc'
loop_
_atom_site_label
_atom_site_fract_x
_atom_site_fract_y
_atom_site_fract_z
Na1 0.000 0.000 0.000
Na2 0.250 0.250 0.000
P1 0.250 0.250 0.500
H1 0.000 0.500 0.000
Se1 0.092 0.338 0.605
Se2 0.223 0.475 0.351

Entry 11:
# NaP2HSe6, relaxed, DFT GGA-PBE
# DFT total energy = -3.816 eV/atom
data_NaP2HSe6
_cell_length_a 13.689
_cell_length_b 16.889
_cell_length_c 6.024
_cell_angle_alpha 90.00
_cell_angle_beta 109.06
_cell_angle_gamma 90.00
_symmetry_space_group_name_H-M 'C 1 2/c 1'
_symmetry_Int_Tables_number 15
_symmetry_space_group_name_Hall '-C 2yc'
loop_
_atom_site_label
_atom_site_fract_x
_atom_site_fract_y
_atom_site_fract_z
Na1 0.000 0.065 0.250
P1 0.219 0.434 0.900
H1 0.000 0.351 0.750
Se1 0.118 0.088 0.925
Se2 0.130 0.330 0.930
Se3 0.160 0.446 0.498

Entry 12:
# NaSi2PH, relaxed, DFT GGA-PBE
# DFT total energy = -2.273 eV/atom
data_NaSi2PH
_cell_length_a 5.053
_cell_length_b 5.053
_cell_length_c 4.854
_cell_angle_alpha 90.00
_cell_angle_beta 90.00
_cell_angle_gamma 90.00
_symmetry_space_group_name_H-M 'P 4/m m m'
_symmetry_Int_Tables_number 123
_symmetry_space_group_name_Hall '-P 4 2'
loop_
_atom_site_label
_atom_site_fract_x
_atom_site_fract_y
_atom_site_fract_z
Na1 0.000 0.000 0.000
Si1 0.000 0.500 0.000
P1 0.000 0.000 0.500
H1 0.500 0.500 0.500

Entry 13:
# NaSrPH2, relaxed, DFT GGA-PBE
# DFT total energy = -2.405 eV/atom
data_NaSrPH2
_cell_length_a 4.437
_cell_length_b 4.437
_cell_length_c 5.720
_cell_angle_alpha 90.00
_cell_angle_beta 90.00
_cell_angle_gamma 90.00
_symmetry_space_group_name_H-M 'P 4/m m m'
_symmetry_Int_Tables_number 123
_symmetry_space_group_name_Hall '-P 4 2'
loop_
_atom_site_label
_atom_site_fract_x
_atom_site_fract_y
_atom_site_fract_z
Na1 0.000 0.000 0.000
Sr1 0.500 0.500 0.000
P1 0.500 0.500 0.500
H1 0.000 0.500 0.500

Entry 14:
# Na2SrPH, relaxed, DFT GGA-PBE
# DFT total energy = -3.102 eV/atom
# ΔE to the lowest computed polymorph = 0.00 eV per formula unit
data_Na2SrPH
_cell_length_a 4.490
_cell_length_b 4.490
_cell_length_c 5.102
_cell_angle_alpha 90.00
_cell_angle_beta 90.00
_cell_angle_gamma 90.00
_symmetry_space_group_name_H-M 'P 4/m m m'
_symmetry_Int_Tables_number 123
_symmetry_space_group_name_Hall '-P 4 2'
loop_
_atom_site_label
_atom_site_fract_x
_atom_site_fract_y
_atom_site_fract_z
Na1 0.000 0.500 0.000
Sr1 0.000 0.000 0.500
P1 0.500 0.500 0.500
H1 0.000 0.000 0.000

Entry 15:
# Na2SrPH, relaxed, DFT GGA-PBE
# DFT total energy = -3.034 eV/atom
# ΔE to the lowest computed polymorph = 0.34 eV per formula unit
data_Na2SrPH
_cell_length_a 4.334
_cell_length_b 11.608
_cell_length_c 8.866
_cell_angle_alpha 90.00
_cell_angle_beta 90.00
_cell_angle_gamma 90.00
_symmetry_space_group_name_H-M 'C m c m'
_symmetry_Int_Tables_number 63
_symmetry_space_group_name_Hall '-C 2c 2'
loop_
_atom_site_label
_atom_site_fract_x
_atom_site_fract_y
_atom_site_fract_z
Na1 0.000 0.174 0.065
Sr1 0.000 0.445 0.250
P1 0.000 0.254 0.750
H1 0.000 0.000 0.000

Entry 16:
# NaTeP2H6, relaxed, DFT GGA-PBE
# DFT total energy = -3.570 eV/atom
data_NaTeP2H6
_cell_length_a 7.738
_cell_length_b 11.528
_cell_length_c 7.130
_cell_angle_alpha 90.00
_cell_angle_beta 91.61
_cell_angle_gamma 90.00
_symmetry_space_group_name_H-M 'C 1 2/c 1'
_symmetry_Int_Tables_number 15
_symmetry_space_group_name_Hall '-C 2yc'
loop_
_atom_site_label
_atom_site_fract_x
_atom_site_fract_y
_atom_site_fract_z
Na1 0.000 0.203 0.250
Te1 0.000 0.311 0.750
P1 0.242 0.027 0.745
H1 0.142 0.139 0.746
H2 0.147 0.432 0.107
H3 0.154 0.431 0.402

Entry 17:
# Na2ZnPH, relaxed, DFT GGA-PBE
# DFT total energy = -2.852 eV/atom
data_Na2ZnPH
_cell_length_a 6.307
_cell_length_b 4.029
_cell_length_c 7.152
_cell_angle_alpha 90.00
_cell_angle_beta 107.68
_cell_angle_gamma 90.00
_symmetry_space_group_name_H-M 'P 1 21/m 1'
_symmetry_Int_Tables_number 11
_symmetry_space_group_name_Hall '-P 2yb'
loop_
_atom_site_label
_atom_site_fract_x
_atom_site_fract_y
_atom_site_fract_z
Na1 0.109 0.250 0.376
Na2 0.264 0.250 0.955
Zn1 0.428 0.750 0.332
P1 0.362 0.750 0.677
H1 0.158 0.750 0.168

Entry 18:
# Na2PaHS4, relaxed, DFT GGA-PBE
# DFT total energy = -4.814 eV/atom
data_Na2PaHS4
_cell_length_a 6.887
_cell_length_b 3.886
_cell_length_c 7.052
_cell_angle_alpha 90.00
_cell_angle_beta 112.62
_cell_angle_gamma 90.00
_symmetry_space_group_name_H-M 'P 1 2/m 1'
_symmetry_Int_Tables_number 10
_symmetry_space_group_name_Hall '-P 2y'
loop_
_atom_site_label
_atom_site_fract_x
_atom_site_fract_y
_atom_site_fract_z
Na1 0.000 0.000 0.000
Na2 0.500 0.500 0.000
Pa1 0.000 0.500 0.500
H1 0.500 0.000 0.500
S1 0.221 0.000 0.750
S2 0.271 0.500 0.324

Entry 19:
# Na2H2Pb, relaxed, DFT GGA-PBE
# DFT total energy = -2.277 eV/atom
# ΔE to the lowest computed polymorph = 0.91 eV per formula unit
data_Na2H2Pb
_cell_length_a 8.002
_cell_length_b 8.002
_cell_length_c 3.040
_cell_angle_alpha 90.00
_cell_angle_beta 90.00
_cell_angle_gamma 90.00
_symmetry_space_group_name_H-M 'P 4/m b m'
_symmetry_Int_Tables_number 127
_symmetry_space_group_name_Hall '-P 4 2ab'
loop_
_atom_site_label
_atom_site_fract_x
_atom_site_fract_y
_atom_site_fract_z
Na1 0.122 0.378 0.000
H1 0.123 0.623 0.500
Pb1 0.000 0.000 0.000

Entry 20:
# Na2H6Pb, relaxed, DFT GGA-PBE
# DFT total energy = -2.588 eV/atom
data_Na2H6Pb
_cell_length_a 7.586
_cell_length_b 7.586
_cell_length_c 7.586
_cell_angle_alpha 90.00
_cell_angle_beta 90.00
_cell_angle_gamma 90.00
_symmetry_space_group_name_H-M 'F m -3 m'
_symmetry_Int_Tables_number 225
_symmetry_space_group_name_Hall '-F 4 2 3'
loop_
_atom_site_label
_atom_site_fract_x
_atom_site_fract_y
_atom_site_fract_z
Na1 0.250 0.250 0.250
H1 0.000 0.000 0.238
Pb1 0.000 0.000 0.500

Entry 21:
# NaH2Pb, relaxed, DFT GGA-PBE
# DFT total energy = -2.680 eV/atom
# ΔE to the lowest computed polymorph = 0.00 eV per formula unit
data_NaH2Pb
_cell_length_a 5.048
_cell_length_b 5.048
_cell_length_c 11.393
_cell_angle_alpha 90.00
_cell_angle_beta 90.00
_cell_angle_gamma 90.00
_symmetry_space_group_name_H-M 'I -4 2 d'
_symmetry_Int_Tables_number 122
_symmetry_space_group_name_Hall 'I -4 2bw'
loop_
_atom_site_label
_atom_site_fract_x
_atom_site_fract_y
_atom_site_fract_z
Na1 0.000 0.000 0.000
H1 0.245 0.250 0.125
Pb1 0.000 0.000 0.500

Entry 22:
# Na4HPb2, relaxed, DFT GGA-PBE
# DFT total energy = -2.265 eV/atom
data_Na4HPb2
_cell_length_a 5.740
_cell_length_b 5.740
_cell_length_c 13.411
_cell_angle_alpha 90.00
_cell_angle_beta 90.00
_cell_angle_gamma 90.00
_symmetry_space_group_name_H-M 'I 4/m m m'
_symmetry_Int_Tables_number 139
_symmetry_space_group_name_Hall '-I 4 2'
loop_
_atom_site_label
_atom_site_fract_x
_atom_site_fract_y
_atom_site_fract_z
Na1 0.000 0.000 0.159
Na2 0.000 0.500 0.000
H1 0.000 0.000 0.000
Pb1 0.000 0.000 0.391

Entry 23:
# NaH2Pb2, relaxed, DFT GGA-PBE
# DFT total energy = -2.949 eV/atom
# ΔE to the lowest computed polymorph = 0.00 eV per formula unit
data_NaH2Pb2
_cell_length_a 6.628
_cell_length_b 6.628
_cell_length_c 4.637
_cell_angle_alpha 90.00
_cell_angle_beta 90.00
_cell_angle_gamma 90.00
_symmetry_space_group_name_H-M 'P 4/m b m'
_symmetry_Int_Tables_number 127
_symmetry_space_group_name_Hall '-P 4 2ab'
loop_
_atom_site_label
_atom_site_fract_x
_atom_site_fract_y
_atom_site_fract_z
Na1 0.000 0.000 0.000
H1 0.205 0.295 0.000
Pb1 0.182 0.318 0.500